No. 1
The following is a PBE calculation of a relaxed ZrNiPd2 crystal, from the Open Quantum Materials Database.

Values from the calculation:
Formation energy from the elements (eV/atom): -0.47
Uncorrected energy (eV per atom): -6.5886

Unit cell a=6.3163 b=6.3163 c=6.3163 alpha=90.00 beta=90.00 gamma=90.00
Last column: nearest neighbours and their distance in Å.
Atoms (fractional coordinates):
Zr 0.0000 0.0000 0.0000  4 Ni 2.74, 4 Pd 2.74
Zr 0.0000 0.5000 0.5000  4 Ni 2.74, 4 Pd 2.74
Zr 0.5000 0.0000 0.5000  4 Ni 2.74, 4 Pd 2.74
Zr 0.5000 0.5000 0.0000  4 Ni 2.74, 4 Pd 2.74
Ni 0.2500 0.2500 0.7500  4 Zr 2.74, 4 Pd 2.74
Ni 0.2500 0.7500 0.2500  4 Zr 2.74, 4 Pd 2.74
Ni 0.7500 0.2500 0.2500  4 Zr 2.74, 4 Pd 2.74
Ni 0.7500 0.7500 0.7500  4 Zr 2.74, 4 Pd 2.74
Pd 0.0000 0.0000 0.5000  4 Ni 2.74, 4 Pd 2.74
Pd 0.0000 0.5000 0.0000  4 Ni 2.74, 4 Pd 2.74
Pd 0.2500 0.2500 0.2500  4 Zr 2.74, 4 Pd 2.74
Pd 0.2500 0.7500 0.7500  4 Zr 2.74, 4 Pd 2.74
Pd 0.5000 0.0000 0.0000  4 Ni 2.74, 4 Pd 2.74
Pd 0.5000 0.5000 0.5000  4 Ni 2.74, 4 Pd 2.74
Pd 0.7500 0.2500 0.7500  4 Zr 2.74, 4 Pd 2.74
Pd 0.7500 0.7500 0.2500  4 Zr 2.74, 4 Pd 2.74


No. 2
The following is a PBE calculation of a relaxed NbNi4P16 crystal, from the Open Quantum Materials Database.

Values from the calculation:
Uncorrected energy (eV per atom): -5.9759

Unit cell a=10.2771 b=10.2771 c=11.1920 alpha=100.30 beta=100.30 gamma=32.25
Last column: nearest neighbours and their distance in Å.
Atoms (fractional coordinates):
Nb 0.1058 0.8942 0.7500  8 P 2.52-2.58
Nb 0.8942 0.1058 0.2500  8 P 2.52-2.58
Ni 0.1941 0.3044 0.1292  6 P 2.22-2.39
Ni 0.2976 0.4874 0.4262  6 P 2.26-2.33
Ni 0.3044 0.1941 0.6292  6 P 2.22-2.39
Ni 0.4874 0.2976 0.9262  6 P 2.26-2.33
Ni 0.5126 0.7024 0.0738  6 P 2.26-2.33
Ni 0.6956 0.8059 0.3708  6 P 2.22-2.39
Ni 0.7024 0.5126 0.5738  6 P 2.26-2.33
Ni 0.8059 0.6956 0.8708  6 P 2.22-2.39
P 0.0582 0.3859 0.3125  2 P 2.21-2.25, 2 Ni 2.30-2.37
P 0.1053 0.1789 0.5425  2 Ni 2.22-2.26, 2 P 2.24
P 0.1195 0.1262 0.8395  3 P 2.24-2.25
P 0.1262 0.1195 0.3395  3 P 2.24-2.25
P 0.1592 0.7138 0.9199  2 P 2.24-2.25, 1 Ni 2.30
P 0.1789 0.1053 0.0425  2 Ni 2.22-2.26, 2 P 2.24
P 0.2218 0.3523 0.9463  1 P 2.21, 3 Ni 2.31-2.39
P 0.2287 0.4872 0.2195  2 Ni 2.23-2.30, 2 P 2.24-2.25
P 0.2389 0.7531 0.3950  2 P 2.24-2.25, 1 Ni 2.33
P 0.2469 0.7611 0.1050  2 P 2.24-2.25, 1 Ni 2.33
P 0.2862 0.8408 0.5801  2 P 2.24-2.25, 1 Ni 2.30
P 0.3523 0.2218 0.4463  1 P 2.21, 3 Ni 2.31-2.39
P 0.3859 0.0582 0.8125  2 P 2.21-2.25, 2 Ni 2.30-2.37
P 0.3880 0.4859 0.6312  2 P 2.24, 1 Ni 2.31
P 0.4859 0.3880 0.1312  2 P 2.24, 1 Ni 2.31
P 0.4872 0.2287 0.7195  2 Ni 2.23-2.30, 2 P 2.24-2.25
P 0.5128 0.7713 0.2805  2 Ni 2.23-2.30, 2 P 2.24-2.25
P 0.5141 0.6120 0.8688  2 P 2.24, 1 Ni 2.31
P 0.6120 0.5141 0.3688  2 P 2.24, 1 Ni 2.31
P 0.6141 0.9418 0.1875  2 P 2.21-2.25, 2 Ni 2.30-2.37
P 0.6477 0.7782 0.5537  1 P 2.21, 3 Ni 2.31-2.39
P 0.7138 0.1592 0.4199  2 P 2.24-2.25, 1 Ni 2.30
P 0.7531 0.2389 0.8950  2 P 2.24-2.25, 1 Ni 2.33
P 0.7611 0.2469 0.6050  2 P 2.24-2.25, 1 Ni 2.33
P 0.7713 0.5128 0.7805  2 Ni 2.23-2.30, 2 P 2.24-2.25
P 0.7782 0.6477 0.0537  1 P 2.21, 3 Ni 2.31-2.39
P 0.8211 0.8947 0.9575  2 Ni 2.22-2.26, 2 P 2.24
P 0.8408 0.2862 0.0801  2 P 2.24-2.25, 1 Ni 2.30
P 0.8738 0.8805 0.6605  3 P 2.24-2.25
P 0.8805 0.8738 0.1605  3 P 2.24-2.25
P 0.8947 0.8211 0.4575  2 Ni 2.22-2.26, 2 P 2.24
P 0.9418 0.6141 0.6875  2 P 2.21-2.25, 2 Ni 2.30-2.37


No. 3
The following is a PBE calculation of a relaxed Dy2HoMg3Tl2Cd crystal, from the Open Quantum Materials Database.

Values from the calculation:
Uncorrected energy (eV per atom): -2.9920

Unit cell a=4.6159 b=7.5419 c=7.5419 alpha=119.97 beta=90.00 gamma=90.00
Last column: nearest neighbours and their distance in Å.
Atoms (fractional coordinates):
Dy 0.0000 0.2122 0.7878  1 Cd 3.20, 4 Tl 3.22, 2 Mg 3.43
Dy 0.0000 0.7878 0.2122  1 Cd 3.20, 4 Tl 3.22, 2 Mg 3.43
Ho 0.0000 0.3636 0.3636  1 Cd 3.20, 4 Tl 3.22, 2 Mg 3.43
Mg 0.5000 0.0276 0.0276  2 Tl 2.93, 2 Cd 2.93, 2 Mg 3.13
Mg 0.5000 0.5481 0.7878  2 Cd 2.93, 2 Tl 2.93, 2 Mg 3.13
Mg 0.5000 0.7878 0.5481  2 Cd 2.93, 2 Tl 2.93, 2 Mg 3.13
Tl 0.5000 0.1213 0.4545  3 Mg 2.93, 2 Ho 3.22, 4 Dy 3.22
Tl 0.5000 0.4545 0.1213  3 Mg 2.93, 2 Ho 3.22, 4 Dy 3.22
Cd 0.0000 0.7877 0.7877  6 Mg 2.93, 1 Ho 3.20, 2 Dy 3.20


No. 4
The following is a PBE calculation of a relaxed NbPdS crystal, from the Open Quantum Materials Database.

Values from the calculation:
Uncorrected energy (eV per atom): -6.7052

Unit cell a=6.2302 b=6.2302 c=4.1354 alpha=90.00 beta=90.00 gamma=120.00
Last column: nearest neighbours and their distance in Å.
Atoms (fractional coordinates):
Nb 0.0644 0.7277 0.0000  1 S 2.47
Nb 0.2723 0.3367 0.0000  1 S 2.47
Nb 0.6633 0.9356 0.0000  1 S 2.47
Pd 0.3999 0.0684 0.5000  2 S 2.31-2.32
Pd 0.6685 0.6001 0.5000  2 S 2.31-2.32
Pd 0.9316 0.3315 0.5000  2 S 2.31-2.32
S 0.0000 0.0000 0.5000  3 Pd 2.31
S 0.3333 0.6667 0.5000  3 Pd 2.32
S 0.6667 0.3333 0.0000  3 Nb 2.47, 6 Pd 2.65


No. 5
The following is a PBE calculation of a relaxed SnB2Mo crystal, from the Open Quantum Materials Database.

Values from the calculation:
Uncorrected energy (eV per atom): -5.2271

Unit cell a=6.0740 b=6.0740 c=6.0740 alpha=90.00 beta=90.00 gamma=90.00
Last column: nearest neighbours and their distance in Å.
Atoms (fractional coordinates):
Sn 0.0000 0.0000 0.0000  4 Mo 2.63, 4 B 2.63
Sn 0.0000 0.5000 0.5000  4 Mo 2.63, 4 B 2.63
Sn 0.5000 0.0000 0.5000  4 Mo 2.63, 4 B 2.63
Sn 0.5000 0.5000 0.0000  4 Mo 2.63, 4 B 2.63
B 0.0000 0.0000 0.5000  4 Mo 2.63, 4 B 2.63
B 0.0000 0.5000 0.0000  4 Mo 2.63, 4 B 2.63
B 0.2500 0.2500 0.7500  4 Sn 2.63, 4 B 2.63
B 0.2500 0.7500 0.2500  4 Sn 2.63, 4 B 2.63
B 0.5000 0.0000 0.0000  4 Mo 2.63, 4 B 2.63
B 0.5000 0.5000 0.5000  4 Mo 2.63, 4 B 2.63
B 0.7500 0.2500 0.2500  4 Sn 2.63, 4 B 2.63
B 0.7500 0.7500 0.7500  4 Sn 2.63, 4 B 2.63
Mo 0.2500 0.2500 0.2500  4 Sn 2.63, 4 B 2.63
Mo 0.2500 0.7500 0.7500  4 Sn 2.63, 4 B 2.63
Mo 0.7500 0.2500 0.7500  4 Sn 2.63, 4 B 2.63
Mo 0.7500 0.7500 0.2500  4 Sn 2.63, 4 B 2.63


No. 6
The following is a PBE calculation of a relaxed ZnBr2 crystal, from the Open Quantum Materials Database.

Values from the calculation:
Uncorrected energy (eV per atom): -2.3972

Unit cell a=6.6949 b=9.2358 c=6.5316 alpha=90.00 beta=96.97 gamma=90.00
Last column: nearest neighbours and their distance in Å.
Atoms (fractional coordinates):
Zn 0.2477 0.2440 0.0000  4 Br 2.45-2.46
Zn 0.2477 0.2560 0.5000  4 Br 2.45-2.46
Zn 0.7523 0.7440 0.5000  4 Br 2.45-2.46
Zn 0.7523 0.7560 0.0000  4 Br 2.45-2.46
Br 0.0379 0.1216 0.2299  2 Zn 2.45
Br 0.0379 0.3784 0.7299  2 Zn 2.45
Br 0.4551 0.1199 0.7710  2 Zn 2.45-2.46
Br 0.4551 0.3801 0.2710  2 Zn 2.45-2.46
Br 0.5449 0.6199 0.7290  2 Zn 2.45-2.46
Br 0.5449 0.8801 0.2290  2 Zn 2.45-2.46
Br 0.9621 0.6216 0.2701  2 Zn 2.45
Br 0.9621 0.8784 0.7701  2 Zn 2.45


No. 7
The following is a PBE calculation of a relaxed SrTaBeIr crystal, from the Open Quantum Materials Database.

Values from the calculation:
Uncorrected energy (eV per atom): -5.5636
E above lowest polymorph (eV/atom): 0.587

Unit cell a=6.5254 b=6.5254 c=6.5254 alpha=90.00 beta=90.00 gamma=90.00
Last column: nearest neighbours and their distance in Å.
Atoms (fractional coordinates):
Sr 0.0000 0.0000 0.0000  4 Ta 2.83, 4 Ir 2.83
Sr 0.0000 0.5000 0.5000  4 Ta 2.83, 4 Ir 2.83
Sr 0.5000 0.0000 0.5000  4 Ta 2.83, 4 Ir 2.83
Sr 0.5000 0.5000 0.0000  4 Ta 2.83, 4 Ir 2.83
Ta 0.2500 0.2500 0.7500  4 Be 2.83, 4 Sr 2.83
Ta 0.2500 0.7500 0.2500  4 Be 2.83, 4 Sr 2.83
Ta 0.7500 0.2500 0.2500  4 Be 2.83, 4 Sr 2.83
Ta 0.7500 0.7500 0.7500  4 Sr 2.83, 4 Be 2.83
Be 0.0000 0.0000 0.5000  4 Ir 2.83, 4 Ta 2.83
Be 0.0000 0.5000 0.0000  4 Ir 2.83, 4 Ta 2.83
Be 0.5000 0.0000 0.0000  4 Ir 2.83, 4 Ta 2.83
Be 0.5000 0.5000 0.5000  4 Ir 2.83, 4 Ta 2.83
Ir 0.2500 0.2500 0.2500  4 Be 2.83, 4 Sr 2.83
Ir 0.2500 0.7500 0.7500  4 Be 2.83, 4 Sr 2.83
Ir 0.7500 0.2500 0.7500  4 Be 2.83, 4 Sr 2.83
Ir 0.7500 0.7500 0.2500  4 Be 2.83, 4 Sr 2.83


No. 8
The following is a PBE calculation of a relaxed Lu2BeIn crystal, from the Open Quantum Materials Database.

Values from the calculation:
Uncorrected energy (eV per atom): -3.5623

Unit cell a=7.1305 b=7.1305 c=7.1305 alpha=90.00 beta=90.00 gamma=90.00
Last column: nearest neighbours and their distance in Å.
Atoms (fractional coordinates):
Lu 0.0000 0.0000 0.0000  4 Be 3.09, 4 Lu 3.09
Lu 0.0000 0.5000 0.5000  4 Be 3.09, 4 Lu 3.09
Lu 0.2500 0.2500 0.2500  4 Lu 3.09, 4 In 3.09
Lu 0.2500 0.7500 0.7500  4 Lu 3.09, 4 In 3.09
Lu 0.5000 0.0000 0.5000  4 Be 3.09, 4 Lu 3.09
Lu 0.5000 0.5000 0.0000  4 Be 3.09, 4 Lu 3.09
Lu 0.7500 0.2500 0.7500  4 Lu 3.09, 4 In 3.09
Lu 0.7500 0.7500 0.2500  4 Lu 3.09, 4 In 3.09
Be 0.2500 0.2500 0.7500  4 In 3.09, 4 Lu 3.09
Be 0.2500 0.7500 0.2500  4 In 3.09, 4 Lu 3.09
Be 0.7500 0.2500 0.2500  4 In 3.09, 4 Lu 3.09
Be 0.7500 0.7500 0.7500  4 In 3.09, 4 Lu 3.09
In 0.0000 0.0000 0.5000  4 Lu 3.09, 4 Be 3.09
In 0.0000 0.5000 0.0000  4 Lu 3.09, 4 Be 3.09
In 0.5000 0.0000 0.0000  4 Lu 3.09, 4 Be 3.09
In 0.5000 0.5000 0.5000  4 Lu 3.09, 4 Be 3.09